# 1
La6PrY2: optimized geometry, GGA-PBE.

abc: 3.7294 10.3108 10.3108
angles: 125.16 85.86 85.86
Closest atoms and distances in Å follow each position.
Fractional positions:
La1 0.8250 0.5022 0.1594  7 La 3.42-3.73, 3 Y 3.54-3.71
La2 0.1750 0.4978 0.8406  7 La 3.42-3.73, 3 Y 3.54-3.71
La3 0.6828 0.6670 0.6670  2 Pr 3.55-3.74, 8 La 3.64-3.73
La4 0.8250 0.1594 0.5022  7 La 3.42-3.73, 3 Y 3.54-3.71
La5 0.1750 0.8406 0.4978  7 La 3.42-3.73, 3 Y 3.54-3.71
La6 0.3172 0.3330 0.3330  2 Pr 3.55-3.74, 8 La 3.64-3.73
Pr1 0.0000 0.0000 0.0000  4 Y 3.53, 4 La 3.55-3.74, 2 Pr 3.73
Y1 0.5000 0.8361 0.1639  2 Pr 3.53, 6 La 3.54-3.71, 2 Y 3.73
Y2 0.5000 0.1639 0.8361  2 Pr 3.53, 6 La 3.54-3.71, 2 Y 3.73

formation energy from the elements: 0.09 eV per atom
ΔE to the lowest computed polymorph: 0.000 eV per atom
spin magnetization: 0.00 μB per formula unit
space group: C2/m (12)

***

# 2
La2PrY: optimized geometry, GGA-PBE.

abc: 3.7155 3.7155 10.3184
angles: 90.00 90.00 90.00
Closest atoms and distances in Å follow each position.
Fractional positions:
Pr1 0.5000 0.5000 0.5000  8 La 3.71, 4 Pr 3.72
Y1 0.5000 0.5000 0.0000  8 La 3.66, 4 Y 3.72
La1 0.0000 0.0000 0.7535  4 Y 3.66, 4 Pr 3.71, 4 La 3.72
La2 0.0000 0.0000 0.2465  4 Y 3.66, 4 Pr 3.71, 4 La 3.72

formation energy from the elements: 0.02 eV per atom
ΔE to the lowest computed polymorph: 0.010 eV per atom
spin magnetization: 0.00 μB per formula unit
space group: P4/mmm (123)

***

# 3
La8PrY5: optimized geometry, GGA-PBE.

abc: 8.7139 8.7139 8.7139
angles: 111.54 105.41 111.54
Closest atoms and distances in Å follow each position.
Fractional positions:
La1 0.1559 0.7218 0.0660  1 Pr 3.23, 4 Y 3.33-3.58
La2 0.9340 0.0899 0.6558  1 Pr 3.23, 4 Y 3.33-3.58
La3 0.7328 0.2621 0.3341  5 Y 3.46-3.72, 3 La 3.58-3.75
La4 0.6659 0.3987 0.9281  5 Y 3.46-3.72, 3 La 3.58-3.75
La5 0.5293 0.6013 0.2672  5 Y 3.46-3.72, 3 La 3.58-3.75
La6 0.5659 0.9101 0.8441  1 Pr 3.23, 4 Y 3.33-3.58
La7 0.3442 0.2782 0.4341  1 Pr 3.23, 4 Y 3.33-3.58
La8 0.0719 0.7379 0.4707  5 Y 3.46-3.72, 3 La 3.58-3.75
Pr1 0.2500 0.5000 0.7500  4 La 3.23
Y1 0.0354 0.3085 0.1250  8 La 3.43-3.72, 2 Y 3.52
Y2 0.8750 0.9104 0.1835  8 La 3.43-3.72, 2 Y 3.52
Y3 0.8165 0.6915 0.7269  8 La 3.43-3.72, 2 Y 3.52
Y4 0.5000 0.0000 0.5000  8 La 3.33-3.46
Y5 0.2731 0.0896 0.9646  8 La 3.43-3.72, 2 Y 3.52

formation energy from the elements: 0.23 eV per atom
spin magnetization: 0.00 μB per formula unit
space group: I-4 (82)

***

# 4
La2Pr6Y3: optimized geometry, GGA-PBE.

abc: 5.7950 5.7950 13.0663
angles: 102.81 102.81 90.00
Closest atoms and distances in Å follow each position.
Fractional positions:
La1 0.4409 0.4409 0.8819  1 La 2.93, 4 Pr 3.04
La2 0.5591 0.5591 0.1181  1 La 2.93, 4 Pr 3.04
Pr1 0.0964 0.5964 0.1928  2 La 3.04, 2 Y 3.30
Pr2 0.5964 0.0964 0.1928  2 La 3.04, 2 Y 3.30
Pr3 0.9036 0.4036 0.8072  2 La 3.04, 2 Y 3.30
Pr4 0.4036 0.9036 0.8072  2 La 3.04, 2 Y 3.30
Pr5 0.7022 0.7022 0.4045  1 Y 3.42, 1 La 3.55
Pr6 0.2978 0.2978 0.5955  1 Y 3.42, 1 La 3.55
Y1 0.0000 0.0000 0.0000  8 Pr 3.76, 2 Y 3.96
Y2 0.8402 0.8402 0.6805  5 Pr 3.30-3.42
Y3 0.1598 0.1598 0.3195  5 Pr 3.30-3.42

formation energy from the elements: 0.43 eV per atom
ΔE to the lowest computed polymorph: 0.273 eV per atom
spin magnetization: 0.00 μB per formula unit
space group: I4/mmm (139)

***

# 5
La3Pr3Y8: optimized geometry, GGA-PBE.

abc: 5.7852 9.9225 9.9225
angles: 103.29 73.05 73.05
Closest atoms and distances in Å follow each position.
Fractional positions:
La1 0.5000 0.0000 0.0000  4 Pr 3.59, 4 Y 4.01
La2 0.0000 0.8127 0.1873  2 Pr 3.61, 8 Y 3.68-3.72
La3 0.0000 0.1873 0.8127  2 Pr 3.61, 8 Y 3.68-3.72
Pr1 0.5000 0.5000 0.5000  2 Pr 3.31
Pr2 0.8044 0.1957 0.1957  1 Pr 3.31, 4 La 3.59-3.61, 4 Y 3.65
Pr3 0.1956 0.8043 0.8043  1 Pr 3.31, 4 La 3.59-3.61, 4 Y 3.65
Y1 0.6615 0.1194 0.5576  6 Y 3.39-3.61, 3 La 3.68-3.71, 1 Pr 3.75
Y2 0.3385 0.8806 0.4424  6 Y 3.39-3.61, 3 La 3.68-3.71, 1 Pr 3.75
Y3 0.6615 0.5576 0.1194  6 Y 3.39-3.61, 3 La 3.68-3.71, 1 Pr 3.75
Y4 0.3385 0.4424 0.8806  6 Y 3.39-3.61, 3 La 3.68-3.71, 1 Pr 3.75
Y5 0.8392 0.7628 0.5588  5 Y 3.17-3.50
Y6 0.1608 0.2372 0.4412  5 Y 3.17-3.50
Y7 0.8392 0.5588 0.7628  5 Y 3.17-3.50
Y8 0.1608 0.4412 0.2372  5 Y 3.17-3.50

formation energy from the elements: 0.10 eV per atom
spin magnetization: 0.00 μB per formula unit
space group: Immm (71)

***

# 6
La4Pr5Y4: optimized geometry, GGA-PBE.

abc: 5.2175 9.7343 9.7377
angles: 85.86 74.46 74.45
Closest atoms and distances in Å follow each position.
Fractional positions:
La1 0.9234 0.4609 0.6922  4 Y 3.67-3.68, 5 La 3.68, 3 Pr 3.69-3.72
La2 0.6155 0.3079 0.4611  4 Y 3.67-3.68, 5 La 3.68, 3 Pr 3.69-3.72
La3 0.0766 0.5391 0.3078  4 Y 3.67-3.68, 5 La 3.68, 3 Pr 3.69-3.72
La4 0.3845 0.6921 0.5389  4 Y 3.67-3.68, 5 La 3.68, 3 Pr 3.69-3.72
Pr1 0.6911 0.8500 0.7678  5 Y 3.65-3.71, 4 Pr 3.67-3.68, 3 La 3.69-3.72
Pr2 0.3089 0.1500 0.2322  5 Y 3.65-3.71, 4 Pr 3.67-3.68, 3 La 3.69-3.72
Pr3 0.0000 0.0000 0.0000  8 Pr 3.68, 4 Y 3.68
Pr4 0.5411 0.7680 0.1498  5 Y 3.65-3.71, 4 Pr 3.67-3.68, 3 La 3.69-3.72
Pr5 0.4589 0.2320 0.8502  5 Y 3.65-3.71, 4 Pr 3.67-3.68, 3 La 3.69-3.72
Y1 0.7687 0.3851 0.0775  6 Pr 3.65-3.71, 4 La 3.67-3.68, 2 Y 3.68
Y2 0.2313 0.6149 0.9225  6 Pr 3.65-3.71, 4 La 3.67-3.68, 2 Y 3.68
Y3 0.8461 0.9227 0.3851  6 Pr 3.65-3.71, 4 La 3.67-3.68, 2 Y 3.68
Y4 0.1539 0.0773 0.6149  6 Pr 3.65-3.71, 4 La 3.67-3.68, 2 Y 3.68

formation energy from the elements: 0.02 eV per atom
spin magnetization: 0.00 μB per formula unit
space group: I4/m (87)

***

# 7
LaPr12Y3: optimized geometry, GGA-PBE.

abc: 5.2189 5.2189 20.8584
angles: 90.00 90.00 90.00
Closest atoms and distances in Å follow each position.
Fractional positions:
La1 0.0000 0.0000 0.0000  12 Pr 3.69-3.72
Pr1 0.5000 0.5000 0.0000  4 La 3.69, 8 Pr 3.72
Pr2 0.5000 0.5000 0.2526  8 Pr 3.66-3.69, 4 Y 3.69
Pr3 0.5000 0.5000 0.5000  8 Pr 3.68, 4 Y 3.69
Pr4 0.5000 0.5000 0.7474  8 Pr 3.66-3.69, 4 Y 3.69
Pr5 0.5000 0.0000 0.1274  2 Y 3.68, 8 Pr 3.69-3.72, 2 La 3.72
Pr6 0.5000 0.0000 0.3759  8 Pr 3.66-3.69, 4 Y 3.68
Pr7 0.5000 0.0000 0.6241  8 Pr 3.66-3.69, 4 Y 3.68
Pr8 0.5000 0.0000 0.8726  2 Y 3.68, 8 Pr 3.69-3.72, 2 La 3.72
Pr9 0.0000 0.5000 0.1274  2 Y 3.68, 8 Pr 3.69-3.72, 2 La 3.72
Pr10 0.0000 0.5000 0.3759  8 Pr 3.66-3.69, 4 Y 3.68
Pr11 0.0000 0.5000 0.6241  8 Pr 3.66-3.69, 4 Y 3.68
Pr12 0.0000 0.5000 0.8726  2 Y 3.68, 8 Pr 3.69-3.72, 2 La 3.72
Y1 0.0000 0.0000 0.2516  12 Pr 3.68-3.69
Y2 0.0000 0.0000 0.5000  12 Pr 3.68-3.69
Y3 0.0000 0.0000 0.7484  12 Pr 3.68-3.69

formation energy from the elements: 0.01 eV per atom
spin magnetization: 0.00 μB per formula unit
space group: P4/mmm (123)

***

# 8
LaPr3Y6: optimized geometry, GGA-PBE.

abc: 10.0527 10.0527 7.0053
angles: 44.15 44.15 60.00
Closest atoms and distances in Å follow each position.
Fractional positions:
La1 0.9002 0.9002 0.2995  2 Pr 2.93
Pr1 0.4002 0.4002 0.7995  2 Pr 2.95-2.96, 3 Y 3.27
Pr2 0.6512 0.6512 0.0463  1 La 2.93, 1 Pr 2.95
Pr3 0.1491 0.1491 0.5528  1 La 2.93, 1 Pr 2.96
Y1 0.9000 0.5724 0.3004  1 La 3.29, 2 Pr 3.52-3.53
Y2 0.2272 0.9000 0.3004  1 La 3.29, 2 Pr 3.52-3.53
Y3 0.5724 0.2272 0.3004  1 La 3.29, 2 Pr 3.52-3.53
Y4 0.0748 0.3999 0.8003  3 Pr 3.27-3.53
Y5 0.7251 0.0748 0.8003  3 Pr 3.27-3.53
Y6 0.3999 0.7251 0.8003  3 Pr 3.27-3.53

formation energy from the elements: 0.27 eV per atom
ΔE to the lowest computed polymorph: 0.128 eV per atom
spin magnetization: 0.00 μB per formula unit
space group: R32 (155)

***

# 9
La3Pr5Y2: optimized geometry, GGA-PBE.

abc: 10.3532 10.3060 11.4437
angles: 129.86 129.95 65.08
Closest atoms and distances in Å follow each position.
Fractional positions:
La1 0.2261 0.9761 0.9522  1 Pr 3.12, 2 Y 3.46
La2 0.7739 0.0239 0.0478  1 Pr 3.12, 2 Y 3.46
La3 0.7219 0.4677 0.2486  1 Y 3.37, 5 Pr 3.42-3.62, 1 La 3.54
La4 0.2781 0.5323 0.7514  1 Y 3.37, 5 Pr 3.42-3.62, 1 La 3.54
La5 0.0267 0.7810 0.2486  1 Y 3.37, 5 Pr 3.42-3.62, 1 La 3.54
La6 0.9733 0.2190 0.7514  1 Y 3.37, 5 Pr 3.42-3.62, 1 La 3.54
Pr1 0.2688 0.5188 0.0376  1 Pr 3.10, 2 La 3.43
Pr2 0.7312 0.4812 0.9624  1 Pr 3.10, 2 La 3.43
Pr3 0.0161 0.7661 0.5323  3 La 3.12-3.42
Pr4 0.5226 0.2726 0.5453  1 Pr 3.10, 2 Y 3.43
Pr5 0.9839 0.2339 0.4677  3 La 3.12-3.42
Pr6 0.4774 0.7274 0.4547  1 Pr 3.10, 2 Y 3.43
Pr7 0.8645 0.6221 0.7471  3 Pr 3.49-3.55, 2 La 3.53-3.84, 2 Y 3.77-3.85
Pr8 0.1355 0.3779 0.2529  3 Pr 3.49-3.55, 2 La 3.53-3.84, 2 Y 3.77-3.85
Pr9 0.3827 0.1251 0.7471  3 Pr 3.49-3.55, 2 La 3.53-3.84, 2 Y 3.77-3.85
Pr10 0.6173 0.8749 0.2529  3 Pr 3.49-3.55, 2 La 3.53-3.84, 2 Y 3.77-3.85
Y1 0.7784 0.0239 0.7479  3 La 3.37-3.58, 4 Pr 3.43-3.64
Y2 0.2216 0.9761 0.2521  3 La 3.37-3.58, 4 Pr 3.43-3.64
Y3 0.4695 0.7240 0.7479  3 La 3.37-3.58, 4 Pr 3.43-3.64
Y4 0.5305 0.2760 0.2521  3 La 3.37-3.58, 4 Pr 3.43-3.64

formation energy from the elements: 0.15 eV per atom
spin magnetization: 0.00 μB per formula unit
space group: C2/c (15)

***

# 10
La7PrY12: optimized geometry, GGA-PBE.

abc: 8.9197 8.9197 8.9197
angles: 86.24 86.24 86.24
Closest atoms and distances in Å follow each position.
Fractional positions:
La1 0.8380 0.6067 0.9198  3 La 3.43-3.67, 5 Y 3.49-3.79
La2 0.3933 0.0802 0.1620  3 La 3.43-3.67, 5 Y 3.49-3.79
La3 0.0802 0.1620 0.3933  3 La 3.43-3.67, 5 Y 3.49-3.79
La4 0.5000 0.5000 0.5000  6 Y 3.35
La5 0.9198 0.8380 0.6067  3 La 3.43-3.67, 5 Y 3.49-3.79
La6 0.6067 0.9198 0.8380  3 La 3.43-3.67, 5 Y 3.49-3.79
La7 0.1620 0.3933 0.0802  3 La 3.43-3.67, 5 Y 3.49-3.79
Pr1 0.0000 0.0000 0.0000  6 Y 3.49
Y1 0.8570 0.2564 0.7251  4 Y 3.31-3.65, 1 Pr 3.49, 2 La 3.57-3.66
Y2 0.7436 0.2749 0.1430  4 Y 3.31-3.65, 1 Pr 3.49, 2 La 3.57-3.66
Y3 0.6179 0.1363 0.4971  5 Y 3.31-3.65, 2 La 3.35-3.49
Y4 0.8637 0.5029 0.3821  5 Y 3.31-3.65, 2 La 3.35-3.49
Y5 0.2749 0.1430 0.7436  4 Y 3.31-3.65, 1 Pr 3.49, 2 La 3.57-3.66
Y6 0.5029 0.3821 0.8637  5 Y 3.31-3.65, 2 La 3.35-3.49
Y7 0.4971 0.6179 0.1363  5 Y 3.31-3.65, 2 La 3.35-3.49
Y8 0.7251 0.8570 0.2564  4 Y 3.31-3.65, 1 Pr 3.49, 2 La 3.57-3.66
Y9 0.1363 0.4971 0.6179  5 Y 3.31-3.65, 2 La 3.35-3.49
Y10 0.3821 0.8637 0.5029  5 Y 3.31-3.65, 2 La 3.35-3.49
Y11 0.2564 0.7251 0.8570  4 Y 3.31-3.65, 1 Pr 3.49, 2 La 3.57-3.66
Y12 0.1430 0.7436 0.2749  4 Y 3.31-3.65, 1 Pr 3.49, 2 La 3.57-3.66

formation energy from the elements: 0.22 eV per atom
ΔE to the lowest computed polymorph: 0.000 eV per atom
spin magnetization: 0.00 μB per formula unit
space group: R-3 (148)

***

no.,D(E_F) (states/eV per atom)
1,1.9900
2,1.8299
3,1.6019
4,1.4298
5,1.6746
6,1.6708
7,1.6188
8,2.2708
9,1.6403
10,2.0329